(1)
Entry from Alexandria via LeMat-Bulk: a relaxed ErLuTcPt crystal (GGA-PBE).

Lattice parameters (Å, degrees): 4.8002 4.8002 4.8002 60.00 60.00 60.00
Element x y z (fractional)
Er (0.0000, 0.0000, 0.0000)
Lu (0.5000, 0.5000, 0.5000)
Tc (0.7500, 0.7500, 0.7500)
Pt (0.2500, 0.2500, 0.2500)

Values from the calculation:
SG ... F-43m (216)
Energy of formation from the pure elements ... -0.64 eV/atom
E_tot ... -7.011 eV per atom

=====

(2)
Entry from Alexandria via LeMat-Bulk: a relaxed ErLuTlPt crystal (GGA-PBE).

Lattice parameters (Å, degrees): 5.0802 5.0802 5.0802 60.00 60.00 60.00
Element x y z (fractional)
Er (0.0000, 0.0000, 0.0000)
Lu (0.5000, 0.5000, 0.5000)
Tl (0.2500, 0.2500, 0.2500)
Pt (0.7500, 0.7500, 0.7500)

Values from the calculation:
SG ... F-43m (216)
Energy of formation from the pure elements ... -0.72 eV/atom
E_tot ... -5.089 eV per atom